# LaCeNi10 | Alexandria via LeMat-Bulk | PBE | relaxed
data_LaCeNi10
_chemical_formula_sum 'La1 Ce1 Ni10'
_cell_length_a 3.991
_cell_length_b 4.941
_cell_length_c 8.550
_cell_angle_alpha 90.00
_cell_angle_beta 90.00
_cell_angle_gamma 90.00
_symmetry_space_group_name_H-M 'P 1'
_symmetry_Int_Tables_number 1
_symmetry_space_group_name_Hall 'P 1'
loop_
_atom_site_label
_atom_site_fract_x
_atom_site_fract_y
_atom_site_fract_z
_atom_site_occupancy
La1 0.000 0.000 0.500 1
Ce1 0.000 0.500 0.000 1
Ni1 0.000 0.500 0.325 1
Ni2 0.000 0.000 0.839 1
Ni3 0.000 0.000 0.161 1
Ni4 0.000 0.500 0.675 1
Ni5 0.500 0.500 0.500 1
Ni6 0.500 0.000 0.000 1
Ni7 0.500 0.748 0.245 1
Ni8 0.500 0.252 0.755 1
Ni9 0.500 0.252 0.245 1
Ni10 0.500 0.748 0.755 1
# - Energy: -0.22187 Ha/atom
# - D(E_F): 11.8 states/eV per cell
# - Energy of formation: -3.77 eV per formula unit